First-principles (PBE) data for a relaxed Si2AgB2 crystal, as listed in Alexandria via LeMat-Bulk.

Properties
**ΔE_f (raw)**: 940 meV per atom
**V**: 67.4 Å³/f.u.
**Total magnetization**: 0.00 μB per cell
**Energy above the most stable polymorph in this dataset**: 144 meV per atom
**Space group**: P4/mbm, No. 127

Cell and atoms, written as extended XYZ:
```
10
Lattice="6.635 0.000 0.000 0.000 6.635 0.000 0.000 0.000 3.061" Properties=species:S:1:pos:R:3 pbc="T T T"
Si 0.954 2.364 0.000
Si 2.364 5.682 0.000
Si 4.271 0.954 0.000
Si 5.682 4.271 0.000
Ag 0.000 0.000 0.000
Ag 3.318 3.318 0.000
B 0.606 3.924 1.531
B 2.711 0.606 1.531
B 3.924 6.029 1.531
B 6.029 2.711 1.531
```

---

First-principles (PBE) data for a relaxed SiAgB crystal, as listed in Alexandria via LeMat-Bulk.

Properties
**ΔE_f (raw)**: 388 meV per atom
**V**: 43.2 Å³/f.u.
**Total magnetization**: 0.00 μB per cell
**Space group**: P6_3/mmc, No. 194

Cell and atoms, written as extended XYZ:
```
6
Lattice="3.443 0.000 0.000 -1.721 2.982 0.000 0.000 0.000 8.425" Properties=species:S:1:pos:R:3 pbc="T T T"
Si 0.000 1.988 2.106
Si 1.721 0.994 6.319
Ag 0.000 0.000 0.000
Ag 0.000 0.000 4.213
B 0.000 1.988 6.319
B 1.721 0.994 2.106
```

---

First-principles (PBE) data for a relaxed SiAgB crystal, as listed in Alexandria via LeMat-Bulk.

Properties
**ΔE_f (raw)**: 362 meV per atom
**V**: 44.6 Å³/f.u.
**Total magnetization**: 0.00 μB per cell
**Space group**: Pnma, No. 62

Cell and atoms, written as extended XYZ:
```
12
Lattice="8.594 0.000 0.000 0.000 3.403 0.000 0.000 0.000 6.095" Properties=species:S:1:pos:R:3 pbc="T T T"
Si 2.084 0.851 0.045
Si 2.213 2.552 3.092
Si 6.381 0.851 3.002
Si 6.510 2.552 6.050
Ag 0.088 0.851 1.768
Ag 4.210 2.552 4.816
Ag 4.385 0.851 1.279
Ag 8.507 2.552 4.326
B 2.098 0.851 4.143
B 2.200 2.552 1.096
B 6.395 0.851 4.999
B 6.497 2.552 1.952
```

---

First-principles (PBE) data for a relaxed SiAgB crystal, as listed in Alexandria via LeMat-Bulk.

Properties
**ΔE_f (raw)**: 272 meV per atom
**V**: 41.8 Å³/f.u.
**Total magnetization**: 0.00 μB per cell
**Space group**: P1, No. 1

Cell and atoms, written as extended XYZ:
```
6
Lattice="3.410 0.000 0.000 -1.697 4.564 0.000 -0.015 -1.510 5.377" Properties=species:S:1:pos:R:3 pbc="T T T"
Si 0.000 0.000 0.000
Si -0.014 2.047 3.643
Ag 1.561 -0.261 2.321
Ag 1.573 2.308 1.322
B 1.695 -0.572 4.730
B 1.694 1.109 4.289
```

---

First-principles (PBE) data for a relaxed SiAgB3 crystal, as listed in Alexandria via LeMat-Bulk.

Properties
**ΔE_f (raw)**: 2221 meV per atom
**V**: 74.2 Å³/f.u.
**Total magnetization**: 0.00 μB per cell
**Energy above the most stable polymorph in this dataset**: 657 meV per atom
**Space group**: Pm-3m, No. 221

Cell and atoms, written as extended XYZ:
```
5
Lattice="4.202 0.000 0.000 0.000 4.202 0.000 0.000 0.000 4.202" Properties=species:S:1:pos:R:3 pbc="T T T"
Si 0.000 0.000 0.000
Ag 2.101 2.101 2.101
B 0.000 2.101 2.101
B 2.101 0.000 2.101
B 2.101 2.101 0.000
```

---

First-principles (PBE) data for a relaxed Si2AgB2 crystal, as listed in Alexandria via LeMat-Bulk.

Properties
**ΔE_f (raw)**: 796 meV per atom
**V**: 64.3 Å³/f.u.
**Total magnetization**: 0.00 μB per cell
**Energy above the most stable polymorph in this dataset**: 0 meV per atom
**Space group**: I4/mmm, No. 139

Cell and atoms, written as extended XYZ:
```
5
Lattice="-1.867 1.867 4.614 1.867 -1.867 4.614 1.867 1.867 -4.614" Properties=species:S:1:pos:R:3 pbc="T T T"
Si 0.000 0.000 1.214
Si 0.000 0.000 8.013
Ag 0.000 0.000 4.614
B 1.867 0.000 2.307
B 0.000 1.867 2.307
```

---

First-principles (PBE) data for a relaxed SiAgB2 crystal, as listed in Alexandria via LeMat-Bulk.

Properties
**ΔE_f (raw)**: 899 meV per atom
**V**: 58.4 Å³/f.u.
**Total magnetization**: 0.00 μB per cell
**Space group**: I-42d, No. 122

Cell and atoms, written as extended XYZ:
```
8
Lattice="-2.491 2.491 4.710 2.491 -2.491 4.710 2.491 2.491 -4.710" Properties=species:S:1:pos:R:3 pbc="T T T"
Si 0.000 0.000 0.000
Si 0.000 2.491 2.355
Ag 2.491 0.000 2.355
Ag 0.000 0.000 4.710
B 3.736 1.048 -1.177
B 1.048 1.245 1.177
B -1.245 1.443 3.532
B 1.443 1.245 5.887
```

---

First-principles (PBE) data for a relaxed SiAgB3 crystal, as listed in Alexandria via LeMat-Bulk.

Properties
**ΔE_f (raw)**: 1564 meV per atom
**V**: 65.6 Å³/f.u.
**Total magnetization**: 0.00 μB per cell
**Energy above the most stable polymorph in this dataset**: 0 meV per atom
**Space group**: Pm-3m, No. 221

Cell and atoms, written as extended XYZ:
```
5
Lattice="4.033 0.000 0.000 0.000 4.033 0.000 0.000 0.000 4.033" Properties=species:S:1:pos:R:3 pbc="T T T"
Si 0.000 0.000 0.000
Ag 2.017 2.017 2.017
B 0.000 0.000 2.017
B 0.000 2.017 0.000
B 2.017 0.000 0.000
```

---

First-principles (PBE) data for a relaxed Si3AgB crystal, as listed in Alexandria via LeMat-Bulk.

Properties
**ΔE_f (raw)**: 1939 meV per atom
**V**: 110.6 Å³/f.u.
**Total magnetization**: 0.00 μB per cell
**Energy above the most stable polymorph in this dataset**: 1223 meV per atom
**Space group**: Pm-3m, No. 221

Cell and atoms, written as extended XYZ:
```
5
Lattice="4.801 0.000 0.000 0.000 4.801 0.000 0.000 0.000 4.801" Properties=species:S:1:pos:R:3 pbc="T T T"
Si 0.000 0.000 2.400
Si 0.000 2.400 0.000
Si 2.400 0.000 0.000
Ag 0.000 0.000 0.000
B 2.400 2.400 2.400
```

---

First-principles (PBE) data for a relaxed SiAgB crystal, as listed in Alexandria via LeMat-Bulk.

Properties
**ΔE_f (raw)**: 246 meV per atom
**V**: 46.1 Å³/f.u.
**Total magnetization**: 0.00 μB per cell
**Space group**: P-1, No. 2

Cell and atoms, written as extended XYZ:
```
6
Lattice="3.462 0.000 0.000 1.730 2.998 0.000 0.027 -0.013 8.891" Properties=species:S:1:pos:R:3 pbc="T T T"
Si 1.251 1.284 2.224
Si 3.969 1.702 6.668
Ag 0.000 0.000 0.000
Ag 0.013 -0.007 4.446
B 2.250 2.693 6.666
B 2.969 0.292 2.225
```

---

First-principles (PBE) data for a relaxed Si3AgB crystal, as listed in Alexandria via LeMat-Bulk.

Properties
**ΔE_f (raw)**: 716 meV per atom
**V**: 73.8 Å³/f.u.
**Total magnetization**: 0.00 μB per cell
**Energy above the most stable polymorph in this dataset**: 0 meV per atom
**Space group**: Pm-3m, No. 221

Cell and atoms, written as extended XYZ:
```
5
Lattice="4.194 0.000 0.000 0.000 4.194 0.000 0.000 0.000 4.194" Properties=species:S:1:pos:R:3 pbc="T T T"
Si 0.000 0.000 2.097
Si 0.000 2.097 0.000
Si 2.097 0.000 0.000
Ag 2.097 2.097 2.097
B 0.000 0.000 0.000
```

---

First-principles (PBE) data for a relaxed SiAgB crystal, as listed in Alexandria via LeMat-Bulk.

Properties
**ΔE_f (raw)**: 508 meV per atom
**V**: 46.1 Å³/f.u.
**Total magnetization**: 0.00 μB per cell
**Space group**: Pnma, No. 62

Cell and atoms, written as extended XYZ:
```
12
Lattice="10.020 0.000 0.000 0.000 3.143 0.000 0.000 0.000 5.852" Properties=species:S:1:pos:R:3 pbc="T T T"
Si 1.494 0.786 1.383
Si 3.516 2.358 4.309
Si 6.504 0.786 1.543
Si 8.526 2.358 4.469
Ag 1.121 2.358 3.518
Ag 3.889 0.786 0.592
Ag 6.131 2.358 5.260
Ag 8.899 0.786 2.334
B 0.000 0.000 0.000
B 0.000 1.572 0.000
B 5.010 0.000 2.926
B 5.010 1.572 2.926
```

---

First-principles (PBE) data for a relaxed SiAgB crystal, as listed in Alexandria via LeMat-Bulk.

Properties
**ΔE_f (raw)**: 249 meV per atom
**V**: 45.2 Å³/f.u.
**Total magnetization**: 0.00 μB per cell
**Space group**: Aem2, No. 39

Cell and atoms, written as extended XYZ:
```
6
Lattice="3.448 0.000 0.000 0.000 4.329 3.031 0.000 -4.329 3.031" Properties=species:S:1:pos:R:3 pbc="T T T"
Si 0.829 -2.164 3.031
Si 2.620 2.164 3.031
Ag 1.724 0.000 1.408
Ag 1.724 0.000 4.439
B 0.884 2.164 4.065
B 2.565 -2.164 4.065
```

---

First-principles (PBE) data for a relaxed SiAgB crystal, as listed in Alexandria via LeMat-Bulk.

Properties
**ΔE_f (raw)**: 742 meV per atom
**V**: 52.3 Å³/f.u.
**Total magnetization**: 0.00 μB per cell
**Space group**: P6_3/mmc, No. 194

Cell and atoms, written as extended XYZ:
```
6
Lattice="4.049 0.000 0.000 -2.024 3.506 0.000 0.000 0.000 7.368" Properties=species:S:1:pos:R:3 pbc="T T T"
Si 0.000 0.000 0.000
Si 0.000 0.000 3.684
Ag 0.000 2.338 1.842
Ag 2.024 1.169 5.526
B 0.000 0.000 1.842
B 0.000 0.000 5.526
```

---

First-principles (PBE) data for a relaxed SiAgB crystal, as listed in Alexandria via LeMat-Bulk.

Properties
**ΔE_f (raw)**: 249 meV per atom
**V**: 46.2 Å³/f.u.
**Total magnetization**: 0.00 μB per cell
**Space group**: C2, No. 5

Cell and atoms, written as extended XYZ:
```
6
Lattice="1.729 -3.000 0.000 1.729 3.000 0.000 -0.010 0.000 8.908" Properties=species:S:1:pos:R:3 pbc="T T T"
Si 0.386 0.000 2.227
Si 3.062 0.000 6.681
Ag 1.729 1.348 0.000
Ag 1.724 1.344 4.454
B 1.322 0.995 6.681
B 2.127 0.995 2.227
```

---

First-principles (PBE) data for a relaxed SiAgB crystal, as listed in Alexandria via LeMat-Bulk.

Properties
**ΔE_f (raw)**: 251 meV per atom
**V**: 46.5 Å³/f.u.
**Total magnetization**: 0.00 μB per cell
**Space group**: P1, No. 1

Cell and atoms, written as extended XYZ:
```
3
Lattice="3.454 0.000 0.000 1.725 3.007 0.000 0.006 0.000 4.481" Properties=species:S:1:pos:R:3 pbc="T T T"
Si 0.000 0.000 0.000
Ag 1.740 1.409 2.240
B 1.734 0.996 4.481
```

---

First-principles (PBE) data for a relaxed SiAgB crystal, as listed in Alexandria via LeMat-Bulk.

Properties
**ΔE_f (raw)**: 269 meV per atom
**V**: 46.4 Å³/f.u.
**Total magnetization**: 0.00 μB per cell
**Space group**: P2/m, No. 10

Cell and atoms, written as extended XYZ:
```
6
Lattice="3.453 0.000 0.000 0.000 4.396 0.000 0.000 0.000 6.109" Properties=species:S:1:pos:R:3 pbc="T T T"
Si 0.000 0.000 1.177
Si 3.453 0.000 4.931
Ag 1.720 2.198 4.585
Ag 1.733 2.198 1.524
B 1.727 0.000 2.214
B 1.727 0.000 3.894
```

---

First-principles (PBE) data for a relaxed SiAgB crystal, as listed in Alexandria via LeMat-Bulk.

Properties
**ΔE_f (raw)**: 455 meV per atom
**V**: 40.0 Å³/f.u.
**Total magnetization**: 0.00 μB per cell
**Space group**: P4/nmm, No. 129

Cell and atoms, written as extended XYZ:
```
6
Lattice="2.900 0.000 0.000 0.000 2.900 0.000 0.000 0.000 9.521" Properties=species:S:1:pos:R:3 pbc="T T T"
Si 0.725 0.725 1.543
Si 2.175 2.175 7.978
Ag 0.725 0.725 5.858
Ag 2.175 2.175 3.664
B 0.725 2.175 0.000
B 2.175 0.725 0.000
```

---

First-principles (PBE) data for a relaxed SiAgB crystal, as listed in Alexandria via LeMat-Bulk.

Properties
**ΔE_f (raw)**: 506 meV per atom
**V**: 41.3 Å³/f.u.
**Total magnetization**: 0.00 μB per cell
**Space group**: Pnma, No. 62

Cell and atoms, written as extended XYZ:
```
12
Lattice="8.467 0.000 0.000 0.000 3.491 0.000 0.000 0.000 5.590" Properties=species:S:1:pos:R:3 pbc="T T T"
Si 1.011 0.873 0.023
Si 3.223 2.619 2.818
Si 5.244 0.873 2.773
Si 7.457 2.619 5.568
Ag 1.086 0.873 2.959
Ag 3.148 2.619 0.163
Ag 5.320 0.873 5.427
Ag 7.381 2.619 2.632
B 0.873 2.619 1.049
B 3.361 0.873 3.845
B 5.107 2.619 1.746
B 7.594 0.873 4.541
```

---

First-principles (PBE) data for a relaxed SiAg3B crystal, as listed in Alexandria via LeMat-Bulk.

Properties
**ΔE_f (raw)**: 1258 meV per atom
**V**: 109.4 Å³/f.u.
**Total magnetization**: 0.00 μB per cell
**Space group**: Pm-3m, No. 221

Cell and atoms, written as extended XYZ:
```
5
Lattice="4.782 0.000 0.000 0.000 4.782 0.000 0.000 0.000 4.782" Properties=species:S:1:pos:R:3 pbc="T T T"
Si 0.000 0.000 0.000
Ag 0.000 0.000 2.391
Ag 0.000 2.391 0.000
Ag 2.391 0.000 0.000
B 2.391 2.391 2.391
```